6
Lattice="-0.508 -0.762 -4.778 -4.362 -3.547 -1.458 -2.712 3.440 -0.260" Properties=species:S:1:pos:R:3 comment="PBE NaFeIr, optimized geometry" spacegroup="No. 6" e_above_lowest_polymorph_mev_per_atom=40 total_energy_ev_per_atom=-5.9136 pbc="T T T"
Na -5.435 0.148 -3.894
Na -3.802 -1.153 -1.130
Ir -3.439 1.839 -2.305
Ir -2.226 -0.096 -3.522
Fe -3.219 1.820 -4.850
Fe -1.489 0.662 -1.197